## HgBiF4 (GGA-PBE)

Data for HgBiF4 after structural relaxation.

abc: 6.550 5.810 6.329
angles: 90.00 101.18 90.00
Space group P2_1/c (No. 14)
Symmetry-distinct sites (fractional):
Hg1 0.000 0.000 0.000 (multiplicity 2)
Bi1 0.500 0.000 0.500 (multiplicity 2)
F1 0.185 0.164 0.368 (multiplicity 4)
F2 0.389 0.695 0.274 (multiplicity 4)

Properties
The energy relative to the elements, uncorrected comes out at -1.854 eV/atom.


## HgBiF2 (GGA-PBE)

Data for HgBiF2 after structural relaxation.

abc: 6.564 6.564 6.564
angles: 90.00 90.00 90.00
Space group Fm-3m (No. 225)
Symmetry-distinct sites (fractional):
Hg1 0.000 0.000 0.000 (multiplicity 4)
Bi1 0.000 0.000 0.500 (multiplicity 4)
F1 0.250 0.250 0.250 (multiplicity 8)

Properties
The energy relative to the elements, uncorrected comes out at -1.042 eV/atom. The excess energy over the best structure of this formula in the dataset comes out at 418 meV per atom.


## HgBiF2 (GGA-PBE)

Data for HgBiF2 after structural relaxation.

abc: 3.2664 3.2664 27.5217
angles: 90.00 90.00 120.00
Space group R-3m (No. 166, hexagonal axes)
Symmetry-distinct sites (fractional):
Hg1 0.0000 0.0000 0.0000 (multiplicity 3)
Bi1 0.0000 0.0000 0.5000 (multiplicity 3)
F1 0.0000 0.0000 0.1034 (multiplicity 6)

Properties
The energy relative to the elements, uncorrected comes out at -1.230 eV/atom. The excess energy over the best structure of this formula in the dataset comes out at 229 meV per atom.


## Hg2BiF2 (GGA-PBE)

Data for Hg2BiF2 after structural relaxation.

abc: 6.305 6.305 6.017
angles: 90.00 90.00 90.00
Space group P4/mbm (No. 127)
Symmetry-distinct sites (fractional):
Hg1 0.183 0.317 0.000 (multiplicity 4)
Bi1 0.000 0.000 0.500 (multiplicity 2)
F1 0.184 0.684 0.500 (multiplicity 4)

Properties
The energy relative to the elements, uncorrected comes out at -1.101 eV/atom.


Q: energy relative to the elements, uncorrected of number 3 (HgBiF2)?
A: -1.230 eV/atom


Q: Which of these has the lowest energy relative to the elements, uncorrected?
A: HgBiF4


Q: The highest energy relative to the elements, uncorrected belongs to which entry?
A: number 2